# LiLa2ZrH PBE optimized geometry
# distance to the lowest polymorph of the same formula	57	meV/atom
data_LiLa2ZrH
_cell_length_a 5.2731
_cell_length_b 5.2731
_cell_length_c 4.2706
_cell_angle_alpha 90.00
_cell_angle_beta 90.00
_cell_angle_gamma 90.00
_symmetry_space_group_name_H-M 'P 4/m m m'
_symmetry_Int_Tables_number 123
_symmetry_space_group_name_Hall '-P 4 2'
loop_
_atom_site_label
_atom_site_type_symbol
_atom_site_fract_x
_atom_site_fract_y
_atom_site_fract_z
_atom_site_occupancy
Li1 Li 0.0000 0.0000 0.0000 1
La1 La 0.0000 0.5000 0.5000 1
Zr1 Zr 0.5000 0.5000 0.0000 1
H1 H 0.5000 0.5000 0.5000 1

***

# LiLa2ZrH PBE optimized geometry
# distance to the lowest polymorph of the same formula	0	meV/atom
data_LiLa2ZrH
_cell_length_a 5.2517
_cell_length_b 5.2517
_cell_length_c 4.0654
_cell_angle_alpha 90.00
_cell_angle_beta 90.00
_cell_angle_gamma 90.00
_symmetry_space_group_name_H-M 'P 4/m m m'
_symmetry_Int_Tables_number 123
_symmetry_space_group_name_Hall '-P 4 2'
loop_
_atom_site_label
_atom_site_type_symbol
_atom_site_fract_x
_atom_site_fract_y
_atom_site_fract_z
_atom_site_occupancy
Li1 Li 0.0000 0.0000 0.0000 1
La1 La 0.0000 0.5000 0.5000 1
Zr1 Zr 0.5000 0.5000 0.0000 1
H1 H 0.0000 0.0000 0.5000 1

***

Density functional theory data (PBE) for an optimized crystal structure of LaLuH.

Structure (CIF):
```
data_LaLuH
_cell_length_a 3.6200
_cell_length_b 3.6200
_cell_length_c 5.8509
_cell_angle_alpha 90.00
_cell_angle_beta 90.00
_cell_angle_gamma 120.00
_symmetry_space_group_name_H-M 'P 3 m 1'
_symmetry_Int_Tables_number 156
loop_
_symmetry_equiv_pos_as_xyz
'x,y,z'
'-y,x-y,z'
'-x+y,-x,z'
'-y,-x,z'
'-x+y,y,z'
'x,x-y,z'
loop_
_atom_site_label
_atom_site_type_symbol
_atom_site_fract_x
_atom_site_fract_y
_atom_site_fract_z
_atom_site_occupancy
La1 La 0.0000 0.0000 0.0000 1
Lu1 Lu 0.3333 0.6667 0.4872 1
H1 H 0.6667 0.3333 0.2761 1
```

***

Density functional theory data (PBE) for an optimized crystal structure of LaLu3H.

Structure (CIF):
```
data_LaLu3H
_cell_length_a 4.9611
_cell_length_b 4.9611
_cell_length_c 4.9611
_cell_angle_alpha 90.00
_cell_angle_beta 90.00
_cell_angle_gamma 90.00
_symmetry_space_group_name_H-M 'P m -3 m'
_symmetry_Int_Tables_number 221
_symmetry_space_group_name_Hall '-P 4 2 3'
loop_
_atom_site_label
_atom_site_type_symbol
_atom_site_fract_x
_atom_site_fract_y
_atom_site_fract_z
_atom_site_occupancy
La1 La 0.0000 0.0000 0.0000 1
Lu1 Lu 0.0000 0.5000 0.5000 1
H1 H 0.5000 0.5000 0.5000 1
```

***

Density functional theory data (PBE) for an optimized crystal structure of La2LuH.

Structure (CIF):
```
data_La2LuH
_cell_length_a 3.4770
_cell_length_b 3.4770
_cell_length_c 8.5591
_cell_angle_alpha 90.00
_cell_angle_beta 90.00
_cell_angle_gamma 90.00
_symmetry_space_group_name_H-M 'P 4/m m m'
_symmetry_Int_Tables_number 123
_symmetry_space_group_name_Hall '-P 4 2'
loop_
_atom_site_label
_atom_site_type_symbol
_atom_site_fract_x
_atom_site_fract_y
_atom_site_fract_z
_atom_site_occupancy
La1 La 0.0000 0.0000 0.1842 1
Lu1 Lu 0.5000 0.5000 0.5000 1
H1 H 0.5000 0.5000 0.0000 1
```

***

Density functional theory data (PBE) for an optimized crystal structure of La2MgH2.

Structure (CIF):
```
data_La2MgH2
_cell_length_a 4.1204
_cell_length_b 4.1204
_cell_length_c 12.8661
_cell_angle_alpha 90.00
_cell_angle_beta 90.00
_cell_angle_gamma 90.00
_symmetry_space_group_name_H-M 'I 4/m m m'
_symmetry_Int_Tables_number 139
_symmetry_space_group_name_Hall '-I 4 2'
loop_
_atom_site_label
_atom_site_type_symbol
_atom_site_fract_x
_atom_site_fract_y
_atom_site_fract_z
_atom_site_occupancy
La1 La 0.0000 0.0000 0.1524 1
Mg1 Mg 0.0000 0.0000 0.5000 1
H1 H 0.0000 0.5000 0.2500 1
```

***

Density functional theory data (PBE) for an optimized crystal structure of La3MgH3.

Structure (CIF):
```
data_La3MgH3
_cell_length_a 6.7741
_cell_length_b 6.7741
_cell_length_c 6.7741
_cell_angle_alpha 90.00
_cell_angle_beta 90.00
_cell_angle_gamma 90.00
_symmetry_space_group_name_H-M 'P m -3 n'
_symmetry_Int_Tables_number 223
_symmetry_space_group_name_Hall '-P 4n 2 3'
loop_
_atom_site_label
_atom_site_type_symbol
_atom_site_fract_x
_atom_site_fract_y
_atom_site_fract_z
_atom_site_occupancy
La1 La 0.0000 0.2500 0.5000 1
Mg1 Mg 0.0000 0.0000 0.0000 1
H1 H 0.0000 0.5000 0.2500 1
```

***

Density functional theory data (PBE) for an optimized crystal structure of La2Mg2H.

Structure (CIF):
```
data_La2Mg2H
_cell_length_a 6.7408
_cell_length_b 6.7408
_cell_length_c 5.9656
_cell_angle_alpha 90.00
_cell_angle_beta 90.00
_cell_angle_gamma 90.00
_symmetry_space_group_name_H-M 'P 4/m b m'
_symmetry_Int_Tables_number 127
_symmetry_space_group_name_Hall '-P 4 2ab'
loop_
_atom_site_label
_atom_site_type_symbol
_atom_site_fract_x
_atom_site_fract_y
_atom_site_fract_z
_atom_site_occupancy
La1 La 0.1690 0.3310 0.0000 1
Mg1 Mg 0.1560 0.6560 0.5000 1
H1 H 0.0000 0.0000 0.0000 1
```

***

Density functional theory data (PBE) for an optimized crystal structure of LaMgH5.

Structure (CIF):
```
data_LaMgH5
_cell_length_a 4.3697
_cell_length_b 12.5000
_cell_length_c 4.9699
_cell_angle_alpha 90.00
_cell_angle_beta 90.00
_cell_angle_gamma 90.00
_symmetry_space_group_name_H-M 'C m c m'
_symmetry_Int_Tables_number 63
_symmetry_space_group_name_Hall '-C 2c 2'
loop_
_atom_site_label
_atom_site_type_symbol
_atom_site_fract_x
_atom_site_fract_y
_atom_site_fract_z
_atom_site_occupancy
La1 La 0.0000 0.1466 0.2500 1
Mg1 Mg 0.0000 0.4235 0.2500 1
H1 H 0.0000 0.1471 0.7500 1
H2 H 0.0000 0.3155 0.5196 1
H3 H 0.2311 0.0000 0.0000 1
```

***

# LaMgH3 PBE optimized geometry
# distance to the lowest polymorph of the same formula	0	meV/atom
data_LaMgH3
_cell_length_a 3.9689
_cell_length_b 3.9689
_cell_length_c 3.9689
_cell_angle_alpha 90.00
_cell_angle_beta 90.00
_cell_angle_gamma 90.00
_symmetry_space_group_name_H-M 'P m -3 m'
_symmetry_Int_Tables_number 221
_symmetry_space_group_name_Hall '-P 4 2 3'
loop_
_atom_site_label
_atom_site_type_symbol
_atom_site_fract_x
_atom_site_fract_y
_atom_site_fract_z
_atom_site_occupancy
La1 La 0.0000 0.0000 0.0000 1
Mg1 Mg 0.5000 0.5000 0.5000 1
H1 H 0.0000 0.5000 0.5000 1

***

# LaMgH3 PBE optimized geometry
# distance to the lowest polymorph of the same formula	120	meV/atom
data_LaMgH3
_cell_length_a 4.4969
_cell_length_b 4.4969
_cell_length_c 4.4969
_cell_angle_alpha 90.00
_cell_angle_beta 90.00
_cell_angle_gamma 90.00
_symmetry_space_group_name_H-M 'P m -3 m'
_symmetry_Int_Tables_number 221
_symmetry_space_group_name_Hall '-P 4 2 3'
loop_
_atom_site_label
_atom_site_type_symbol
_atom_site_fract_x
_atom_site_fract_y
_atom_site_fract_z
_atom_site_occupancy
La1 La 0.0000 0.0000 0.0000 1
Mg1 Mg 0.5000 0.5000 0.5000 1
H1 H 0.0000 0.0000 0.5000 1

***

Density functional theory data (PBE) for an optimized crystal structure of La3Mg5H12.

Structure (CIF):
```
data_La3Mg5H12
_cell_length_a 12.6952
_cell_length_b 12.6952
_cell_length_c 12.6952
_cell_angle_alpha 90.00
_cell_angle_beta 90.00
_cell_angle_gamma 90.00
_symmetry_space_group_name_H-M 'I a -3 d'
_symmetry_Int_Tables_number 230
_symmetry_space_group_name_Hall '-I 4bd 2c 3'
loop_
_atom_site_label
_atom_site_type_symbol
_atom_site_fract_x
_atom_site_fract_y
_atom_site_fract_z
_atom_site_occupancy
La1 La 0.0000 0.2500 0.1250 1
Mg1 Mg 0.0000 0.0000 0.0000 1
Mg2 Mg 0.0000 0.2500 0.3750 1
H1 H 0.0245 0.0594 0.6499 1
```

***

In order of appearance, energy = -23.5 -23.8 -13.4 -22.5 -17.4 -40.4 -57.0 -32.9 -104.7 -17.4 -16.8 -546.5 eV for the cell shown.